## i
The following is a DFT calculation (PBE) of crystalline AcZn2Cu3 at its relaxed geometry.

The structure in CIF format:
```
data_AcZn2Cu3
_chemical_formula_sum 'Ac4 Zn8 Cu12'
_space_group_name_H-M_alt 'C m c m'
_space_group_IT_number 63
_space_group_name_Hall '-C 2c 2'
_cell_length_a 10.075
_cell_length_b 8.334
_cell_length_c 5.175
_cell_angle_alpha 90.00
_cell_angle_beta 90.00
_cell_angle_gamma 90.00
loop_
_atom_site_label
_atom_site_fract_x
_atom_site_fract_y
_atom_site_fract_z
_atom_site_occupancy
Ac1 0.000 0.189 0.250 1
Zn1 0.213 0.500 0.000 1
Cu1 0.000 0.426 0.750 1
Cu2 0.185 0.229 0.750 1
```

Volume = 434.5 Å³/cell

---

## ii
The following is a DFT calculation (PBE) of crystalline AcZn2Cu3 at its relaxed geometry.

The structure in CIF format:
```
data_AcZn2Cu3
_chemical_formula_sum 'Ac1 Zn2 Cu3'
_space_group_name_H-M_alt 'P 6/m m m'
_space_group_IT_number 191
_space_group_name_Hall '-P 6 2'
_cell_length_a 5.5076
_cell_length_b 5.5076
_cell_length_c 4.0727
_cell_angle_alpha 90.00
_cell_angle_beta 90.00
_cell_angle_gamma 120.00
loop_
_atom_site_label
_atom_site_fract_x
_atom_site_fract_y
_atom_site_fract_z
_atom_site_occupancy
Ac1 0.0000 0.0000 0.0000 1
Zn1 0.3333 0.6667 0.0000 1
Cu1 0.0000 0.5000 0.5000 1
```

Volume = 107.0 Å³/cell

---

i is preferred energetically. Next in line: 0.035 eV/atom higher.

---

## i
The following is a DFT calculation (PBE) of crystalline Ac2Zn3Cu4 at its relaxed geometry.

The structure in CIF format:
```
data_Ac2Zn3Cu4
_chemical_formula_sum 'Ac8 Zn12 Cu16'
_space_group_name_H-M_alt 'C m c e'
_space_group_IT_number 64
_space_group_name_Hall '-C 2ac 2'
_cell_length_a 5.734
_cell_length_b 16.036
_cell_length_c 7.724
_cell_angle_alpha 90.00
_cell_angle_beta 90.00
_cell_angle_gamma 90.00
loop_
_atom_site_label
_atom_site_fract_x
_atom_site_fract_y
_atom_site_fract_z
_atom_site_occupancy
Ac1 0.000 0.114 0.084 1
Zn1 0.000 0.000 0.500 1
Zn2 0.250 0.221 0.750 1
Cu1 0.000 0.185 0.484 1
Cu2 0.250 0.058 0.750 1
```

Volume = 710.2 Å³/cell

---

## ii
The following is a DFT calculation (PBE) of crystalline Ac2Zn3Cu4 at its relaxed geometry.

The structure in CIF format:
```
data_Ac2Zn3Cu4
_chemical_formula_sum 'Ac8 Zn12 Cu16'
_space_group_name_H-M_alt 'F m m m'
_space_group_IT_number 69
_space_group_name_Hall '-F 2 2'
_cell_length_a 5.161
_cell_length_b 9.971
_cell_length_c 13.745
_cell_angle_alpha 90.00
_cell_angle_beta 90.00
_cell_angle_gamma 90.00
loop_
_atom_site_label
_atom_site_fract_x
_atom_site_fract_y
_atom_site_fract_z
_atom_site_occupancy
Ac1 0.000 0.000 0.145 1
Zn1 0.000 0.000 0.500 1
Zn2 0.250 0.250 0.000 1
Cu1 0.000 0.196 0.335 1
```

Volume = 707.3 Å³/cell

---

ii is preferred energetically. Next in line: 0.011 eV/atom higher.

---

## i
The following is a DFT calculation (PBE) of crystalline AcDyEr2 at its relaxed geometry.

The structure in CIF format:
```
data_AcDyEr2
_chemical_formula_sum 'Ac4 Dy4 Er8'
_space_group_name_H-M_alt 'F m -3 m'
_space_group_IT_number 225
_space_group_name_Hall '-F 4 2 3'
_cell_length_a 8.193
_cell_length_b 8.193
_cell_length_c 8.193
_cell_angle_alpha 90.00
_cell_angle_beta 90.00
_cell_angle_gamma 90.00
loop_
_atom_site_label
_atom_site_fract_x
_atom_site_fract_y
_atom_site_fract_z
_atom_site_occupancy
Ac1 0.000 0.000 0.000 1
Dy1 0.000 0.000 0.500 1
Er1 0.250 0.250 0.250 1
```

Volume = 549.9 Å³/cell

---

## ii
The following is a DFT calculation (PBE) of crystalline AcDyEr2 at its relaxed geometry.

The structure in CIF format:
```
data_AcDyEr2
_chemical_formula_sum 'Ac1 Dy1 Er2'
_space_group_name_H-M_alt 'P 4/m m m'
_space_group_IT_number 123
_space_group_name_Hall '-P 4 2'
_cell_length_a 4.128
_cell_length_b 4.128
_cell_length_c 8.090
_cell_angle_alpha 90.00
_cell_angle_beta 90.00
_cell_angle_gamma 90.00
loop_
_atom_site_label
_atom_site_fract_x
_atom_site_fract_y
_atom_site_fract_z
_atom_site_occupancy
Ac1 0.000 0.000 0.000 1
Dy1 0.000 0.000 0.500 1
Er1 0.500 0.500 0.275 1
```

Volume = 137.8 Å³/cell

---

## iii
The following is a DFT calculation (PBE) of crystalline AcDyEr2 at its relaxed geometry.

The structure in CIF format:
```
data_AcDyEr2
_chemical_formula_sum 'Ac3 Dy3 Er6'
_space_group_name_H-M_alt 'R 3 m'
_space_group_IT_number 160
_space_group_name_Hall 'R 3 -2"'
_cell_length_a 3.6637
_cell_length_b 3.6637
_cell_length_c 35.1771
_cell_angle_alpha 90.00
_cell_angle_beta 90.00
_cell_angle_gamma 120.00
loop_
_atom_site_label
_atom_site_fract_x
_atom_site_fract_y
_atom_site_fract_z
_atom_site_occupancy
Ac1 0.0000 0.0000 0.0000 1
Dy1 0.0000 0.0000 0.8341 1
Er1 0.0000 0.0000 0.2464 1
Er2 0.0000 0.0000 0.4212 1
```

Volume = 408.9 Å³/cell

---

iii is preferred energetically. Next in line: 0.031 eV/atom higher.

---

## i
The following is a DFT calculation (PBE) of crystalline AcDyEr2 at its relaxed geometry.

The structure in CIF format:
```
data_AcDyEr2
_chemical_formula_sum 'Ac1 Dy1 Er2'
_space_group_name_H-M_alt 'P 4/m m m'
_space_group_IT_number 123
_space_group_name_Hall '-P 4 2'
_cell_length_a 5.162
_cell_length_b 5.162
_cell_length_c 5.100
_cell_angle_alpha 90.00
_cell_angle_beta 90.00
_cell_angle_gamma 90.00
loop_
_atom_site_label
_atom_site_fract_x
_atom_site_fract_y
_atom_site_fract_z
_atom_site_occupancy
Ac1 0.000 0.000 0.000 1
Dy1 0.500 0.500 0.000 1
Er1 0.000 0.500 0.500 1
```

Volume = 135.9 Å³/cell

---

## ii
The following is a DFT calculation (PBE) of crystalline AcDyEr2 at its relaxed geometry.

The structure in CIF format:
```
data_AcDyEr2
_chemical_formula_sum 'Ac3 Dy3 Er6'
_space_group_name_H-M_alt 'R -3 m'
_space_group_IT_number 166
_space_group_name_Hall '-R 3 2"'
_cell_length_a 3.5545
_cell_length_b 3.5545
_cell_length_c 37.8248
_cell_angle_alpha 90.00
_cell_angle_beta 90.00
_cell_angle_gamma 120.00
loop_
_atom_site_label
_atom_site_fract_x
_atom_site_fract_y
_atom_site_fract_z
_atom_site_occupancy
Ac1 0.0000 0.0000 0.0000 1
Dy1 0.0000 0.0000 0.5000 1
Er1 0.0000 0.0000 0.0928 1
```

Volume = 413.9 Å³/cell

---

## iii
The following is a DFT calculation (PBE) of crystalline AcDyEr2 at its relaxed geometry.

The structure in CIF format:
```
data_AcDyEr2
_chemical_formula_sum 'Ac2 Dy2 Er4'
_space_group_name_H-M_alt 'P 1 21/m 1'
_space_group_IT_number 11
_cell_length_a 3.603
_cell_length_b 5.504
_cell_length_c 14.058
_cell_angle_alpha 90.00
_cell_angle_beta 97.30
_cell_angle_gamma 90.00
loop_
_space_group_symop_operation_xyz
'x,y,z'
'-x,-y,-z'
'-x,y+1/2,-z'
'x,-y+1/2,z'
loop_
_atom_site_label
_atom_site_fract_x
_atom_site_fract_y
_atom_site_fract_z
_atom_site_occupancy
Ac1 0.041 0.250 0.083 1
Dy1 0.230 0.750 0.459 1
Er1 0.162 0.250 0.324 1
Er2 0.388 0.250 0.776 1
```

Volume = 276.5 Å³/cell

---

i is preferred energetically. Next in line: 0.029 eV/atom higher.

---

## i
The following is a DFT calculation (PBE) of crystalline Ac4DyEr at its relaxed geometry.

The structure in CIF format:
```
data_Ac4DyEr
_chemical_formula_sum 'Ac16 Dy4 Er4'
_space_group_name_H-M_alt 'F -4 3 m'
_space_group_IT_number 216
_space_group_name_Hall 'F -4 2 3'
_cell_length_a 10.069
_cell_length_b 10.069
_cell_length_c 10.069
_cell_angle_alpha 90.00
_cell_angle_beta 90.00
_cell_angle_gamma 90.00
loop_
_atom_site_label
_atom_site_fract_x
_atom_site_fract_y
_atom_site_fract_z
_atom_site_occupancy
Ac1 0.125 0.125 0.125 1
Dy1 0.250 0.250 0.750 1
Er1 0.000 0.000 0.500 1
```

Volume = 1020.9 Å³/cell

---

## ii
The following is a DFT calculation (PBE) of crystalline Ac4DyEr at its relaxed geometry.

The structure in CIF format:
```
data_Ac4DyEr
_chemical_formula_sum 'Ac4 Dy1 Er1'
_space_group_name_H-M_alt 'P m m m'
_space_group_IT_number 47
_cell_length_a 3.717
_cell_length_b 5.810
_cell_length_c 11.255
_cell_angle_alpha 90.00
_cell_angle_beta 90.00
_cell_angle_gamma 90.00
loop_
_space_group_symop_operation_xyz
'x,y,z'
'-x,-y,-z'
'-x,-y,z'
'x,y,-z'
'x,-y,-z'
'-x,y,z'
'-x,y,-z'
'x,-y,z'
loop_
_atom_site_label
_atom_site_fract_x
_atom_site_fract_y
_atom_site_fract_z
_atom_site_occupancy
Ac1 0.000 0.000 0.156 1
Ac2 0.000 0.500 0.343 1
Dy1 0.500 0.000 0.500 1
Er1 0.500 0.500 0.000 1
```

Volume = 243.1 Å³/cell

---

ii is preferred energetically. Next in line: 0.226 eV/atom higher.